Record 1
Entry from the Alexandria database: BeCoIr2 after structural relaxation (PBE).

a b c (Å): 4.8595 4.8595 4.8595
angles (deg): 146.96 126.36 64.46
Last column: nearest neighbours and their distance in Å.
Fractional coordinates of all 4 atoms:
Be (0.0000, 0.0000, 0.0000)  4 Ir 2.28
Co (0.5000, 0.5000, 0.0000)  4 Be 2.59, 8 Ir 2.68-2.85, 2 Co 2.76
Ir (0.2212, 0.7212, 0.5000)  2 Be 2.28
Ir (0.7788, 0.2788, 0.5000)  2 Be 2.28

Record 2
Entry from the Alexandria database: BeCoIr2 after structural relaxation (PBE).

a b c (Å): 3.8609 4.8343 4.8343
angles (deg): 32.16 90.00 90.00
Last column: nearest neighbours and their distance in Å.
Fractional coordinates of all 4 atoms:
Be (0.0000, 0.0000, 0.0000)  2 Co 2.27, 1 Ir 2.43
Co (0.5000, 0.1276, 0.1276)  2 Be 2.27, 1 Ir 2.49
Ir (0.0000, 0.7387, 0.7387)  3 Be 2.43-2.59, 4 Co 2.57, 2 Ir 2.68
Ir (0.5000, 0.3953, 0.3953)  3 Co 2.49-2.54, 4 Be 2.54, 6 Ir 2.68-2.76

Record 3
Entry from the Alexandria database: Be2CoIr after structural relaxation (PBE).

a b c (Å): 3.8329 3.8329 3.8329
angles (deg): 60.00 60.00 60.00
Last column: nearest neighbours and their distance in Å.
Fractional coordinates of all 4 atoms:
Be (0.2500, 0.2500, 0.2500)  4 Ir 2.35, 4 Co 2.35
Be (0.7500, 0.7500, 0.7500)  4 Ir 2.35, 4 Co 2.35
Co (0.0000, 0.0000, 0.0000)  8 Be 2.35
Ir (0.5000, 0.5000, 0.5000)  8 Be 2.35

Output
Polymorph energy (0 for the lowest one) = 0.0 meV per atom

Record 4
Entry from the Alexandria database: BeCoIr2 after structural relaxation (PBE).

a b c (Å): 2.6731 3.6278 5.0616
angles (deg): 90.00 90.00 90.00
Last column: nearest neighbours and their distance in Å.
Fractional coordinates of all 4 atoms:
Be (0.0000, 0.0000, 0.0000)  5 Ir 2.38-2.54, 4 Co 2.57
Co (0.5000, 0.5000, 0.2449)  6 Ir 2.40-2.66, 4 Be 2.57, 2 Co 2.67
Ir (0.0000, 0.0000, 0.4710)  1 Be 2.38, 4 Co 2.53
Ir (0.5000, 0.5000, 0.7700)  2 Co 2.40-2.66, 4 Be 2.54, 2 Ir 2.67

Record 5
Entry from the Alexandria database: BeCo2Ir after structural relaxation (PBE).

a b c (Å): 4.6499 4.6499 4.6499
angles (deg): 145.54 127.53 64.30
Last column: nearest neighbours and their distance in Å.
Fractional coordinates of all 4 atoms:
Be (0.0000, 0.0000, 0.0000)  6 Co 2.21-2.48, 2 Ir 2.32
Co (0.2203, 0.7203, 0.5000)  2 Be 2.21
Co (0.4865, 0.4865, 0.0000)  4 Be 2.48, 6 Co 2.51-2.76, 4 Ir 2.58-2.70
Ir (0.7635, 0.2635, 0.5000)  2 Be 2.32, 6 Co 2.50-2.58

Record 6
Entry from the Alexandria database: BeCo2Ir after structural relaxation (PBE).

a b c (Å): 7.9886 7.9886 7.9886
angles (deg): 18.68 18.68 18.68
Last column: nearest neighbours and their distance in Å.
Fractional coordinates of all 4 atoms:
Be (0.0000, 0.0000, 0.0000)  6 Co 2.33, 6 Be 2.59
Co (0.2577, 0.2577, 0.2577)  3 Be 2.33, 6 Co 2.59
Co (0.7423, 0.7423, 0.7423)  3 Be 2.33, 6 Co 2.59
Ir (0.5000, 0.5000, 0.5000)  6 Ir 2.59, 6 Co 2.61

Record 7
Entry from the Alexandria database: Be6CoIr after structural relaxation (PBE).

a b c (Å): 4.2202 4.2202 4.2202
angles (deg): 90.00 90.00 90.00
Last column: nearest neighbours and their distance in Å.
Fractional coordinates of all 8 atoms:
Be (0.0000, 0.2539, 0.5000)  2 Be 2.08-2.14
Be (0.0000, 0.7461, 0.5000)  2 Be 2.08-2.14
Be (0.2539, 0.5000, 0.0000)  2 Be 2.08-2.14
Be (0.5000, 0.0000, 0.2539)  2 Be 2.08-2.14
Be (0.5000, 0.0000, 0.7461)  2 Be 2.08-2.14
Be (0.7461, 0.5000, 0.0000)  2 Be 2.08-2.14
Co (0.5000, 0.5000, 0.5000)  12 Be 2.35
Ir (0.0000, 0.0000, 0.0000)  12 Be 2.37

Record 8
Entry from the Alexandria database: Be2CoIr after structural relaxation (PBE).

a b c (Å): 2.7650 2.7650 5.3426
angles (deg): 90.00 90.00 90.00
Last column: nearest neighbours and their distance in Å.
Fractional coordinates of all 4 atoms:
Be (0.0000, 0.0000, 0.0000)  4 Be 2.26, 1 Co 2.32, 4 Ir 2.36
Be (0.5000, 0.5000, 0.2131)  4 Be 2.26, 4 Co 2.29, 1 Ir 2.47
Co (0.0000, 0.0000, 0.4351)  5 Be 2.29-2.32
Ir (0.5000, 0.5000, 0.7512)  5 Be 2.36-2.47, 4 Co 2.58

Output
Polymorph energy (0 for the lowest one) = 180.0 meV per atom

| no. | final energy (eV/atom) | ΔE_f (meV/atom) |
| --- | --- | --- |
| 1 | -7.25 | -109 |
| 2 | -7.27 | -133 |
| 3 | -6.32 | -464 |
| 4 | -7.22 | -77 |
| 5 | -6.80 | -103 |
| 6 | -6.64 | 61 |
| 7 | -4.93 | -135 |
| 8 | -6.14 | -284 |